# Li2Fe2F7 (GGA+U, relaxed)
# E	-225.961	eV/cell
# total magnetic moment	36.000	μB/cell
data_Li2Fe2F7
_space_group_name_H-M_alt 'C 1 2/c 1'
_space_group_IT_number 15
_cell_length_a 7.873
_cell_length_b 7.368
_cell_length_c 10.840
_cell_angle_alpha 90.00
_cell_angle_beta 107.36
_cell_angle_gamma 90.00
loop_
_space_group_symop_operation_xyz
'x,y,z'
'-x,-y,-z'
'-x,y,-z+1/2'
'x,-y,z+1/2'
'x+1/2,y+1/2,z'
'-x+1/2,-y+1/2,-z'
'-x+1/2,y+1/2,-z+1/2'
'x+1/2,-y+1/2,z+1/2'
loop_
_atom_site_label
_atom_site_fract_x
_atom_site_fract_y
_atom_site_fract_z
Li1 0.151 0.080 0.470
Fe1 0.250 0.216 0.230
F1 0.000 0.334 0.750
F2 0.104 0.135 0.064
F3 0.190 0.309 0.377
F4 0.223 0.025 0.823